Run 1
GeHBr | PBE | optimized geometry

abc: 3.321 3.321 5.937
angles: 106.24 106.24 90.00
Positions (direct):
Ge (0.520, 0.520, 0.040)
H (0.025, 0.025, 0.051)
Br (0.304, 0.304, 0.609)

As for the density of states at the Fermi level: 0.83 states/eV/f.u.

=====

Run 2
GeHBr | PBE | optimized geometry

abc: 4.087 5.094 6.936
angles: 86.52 89.96 89.96
Positions (direct):
Ge (0.788, 0.907, 0.177)
Br (0.989, 0.726, 0.692)
Br (0.487, 0.280, 0.304)
H (0.478, 0.885, 0.002)
H (0.978, 0.121, 0.994)
Ge (0.289, 0.098, 0.819)

As for the density of states at the Fermi level: 0.00 states/eV/f.u.

=====

Which of them is most stable? Easy: run 2.

=====

Run 1
GeHBr2 | PBE | optimized geometry

abc: 7.527 7.527 7.839
angles: 61.31 61.31 90.00
Positions (direct):
Br (0.375, 0.296, 0.750)
H (0.250, 0.750, 0.500)
Ge (0.750, 0.250, 0.500)
Br (0.046, 0.625, 0.250)
Ge (0.000, 0.000, 0.000)
H (0.500, 0.500, 0.000)
Br (0.875, 0.954, 0.750)
Br (0.704, 0.125, 0.250)

As for the density of states at the Fermi level: 0.00 states/eV/f.u.

=====

Run 2
GeHBr2 | PBE | optimized geometry

abc: 7.994 7.994 7.994
angles: 27.35 27.35 27.35
Positions (direct):
H (0.000, 0.000, 0.000)
Br (0.075, 0.075, 0.075)
Ge (0.500, 0.500, 0.500)
Br (0.925, 0.925, 0.925)

As for the density of states at the Fermi level: 1.19 states/eV/f.u.

=====

Run 3
GeHBr2 | PBE | optimized geometry

abc: 3.984 5.653 10.364
angles: 90.00 101.08 90.00
Positions (direct):
Br (0.202, 0.250, 0.403)
Br (0.798, 0.750, 0.597)
Br (0.597, 0.750, 0.194)
H (0.958, 0.750, 0.916)
Ge (0.184, 0.750, 0.369)
Br (0.403, 0.250, 0.806)
Ge (0.816, 0.250, 0.631)
H (0.042, 0.250, 0.084)

As for the density of states at the Fermi level: 0.00 states/eV/f.u.

=====

Run 4
GeHBr2 | PBE | optimized geometry

abc: 8.218 8.218 8.218
angles: 24.57 24.57 24.57
Positions (direct):
Br (0.890, 0.890, 0.890)
Ge (0.000, 0.000, 0.000)
Br (0.110, 0.110, 0.110)
H (0.500, 0.500, 0.500)

As for the density of states at the Fermi level: 0.91 states/eV/f.u.

=====

Which of them is most stable? Easy: run 2.